Entry 1:
BaZnGa2 GGA-PBE relaxed; volume = 29.020 Å³/atom; E_form = -0.243 eV per atom; symmetry = No. 141
1.0
-2.5665 2.5665 8.8115
2.5665 -2.5665 8.8115
2.5665 2.5665 -8.8115
Ba Zn Ga
2 2 4
Direct
0.3750 0.6250 0.7500
0.6250 0.3750 0.2500
0.1250 0.8750 0.2500
0.8750 0.1250 0.7500
0.0000 0.0000 0.0000
0.0000 0.0000 0.5000
0.0000 0.5000 0.0000
0.5000 0.0000 0.5000

Entry 2:
HfGaCo GGA-PBE relaxed; volume = 15.076 Å³/atom; E_form = -0.428 eV per atom; symmetry = No. 38
1.0
8.1804 0.0000 0.0000
0.0000 2.5452 4.3444
0.0000 -2.5452 4.3444
Hf Ga Co
4 4 4
Direct
0.1811 0.0000 0.0000
0.2883 0.6709 0.6709
0.7117 0.6709 0.6709
0.8189 0.0000 0.0000
0.0000 0.4889 0.4889
0.5000 0.1670 0.1670
0.5000 0.1675 0.6692
0.5000 0.6692 0.1675
0.0000 0.4835 0.9934
0.0000 0.9934 0.4835
0.2536 0.3370 0.3370
0.7464 0.3370 0.3370

Entry 3:
LaMg2BiRh GGA-PBE relaxed; volume = 27.351 Å³/atom; E_form = -0.463 eV per atom; symmetry = No. 123
1.0
5.0502 0.0000 0.0000
0.0000 5.0502 0.0000
0.0000 0.0000 5.3619
La Mg Bi Rh
1 2 1 1
Direct
0.0000 0.0000 0.0000
0.0000 0.5000 0.5000
0.5000 0.0000 0.5000
0.5000 0.5000 0.0000
0.0000 0.0000 0.5000

Entry 4:
P2SF GGA-PBE relaxed; volume = 15.717 Å³/atom; formation energy without anion corrections = 0.0 eV/f.u.; symmetry = No. 122
1.0
-1.9961 1.9961 7.8897
1.9961 -1.9961 7.8897
1.9961 1.9961 -7.8897
P S F
4 2 2
Direct
0.0435 0.6250 0.9185
0.3750 0.2935 0.4185
0.7065 0.1250 0.0815
0.8750 0.9565 0.5815
0.0000 0.0000 0.0000
0.7500 0.2500 0.5000
0.2500 0.7500 0.5000
0.5000 0.5000 0.0000

Entry 5:
NaSr2Be GGA-PBE relaxed; volume = 39.672 Å³/atom; E_form = 0.518 eV per atom; symmetry = No. 122
1.0
-4.5997 4.5997 3.7501
4.5997 -4.5997 3.7501
4.5997 4.5997 -3.7501
Na Sr Be
2 4 2
Direct
0.0000 0.0000 0.0000
0.7500 0.2500 0.5000
0.1885 0.6250 0.0635
0.3750 0.4385 0.5635
0.5615 0.1250 0.9365
0.8750 0.8115 0.4365
0.2500 0.7500 0.5000
0.5000 0.5000 0.0000

Entry 6:
CoSiP GGA-PBE relaxed; volume = 13.214 Å³/atom; formation energy without anion corrections = -0.6 eV/f.u.; symmetry = No. 38
1.0
2.6912 0.0000 0.0000
0.0000 1.3822 5.3285
0.0000 -1.3822 5.3285
Co Si P
1 1 1
Direct
0.0000 0.0000 0.0000
0.5000 0.3821 0.3821
0.5000 0.1704 0.1704

Entry 7:
Nd2CuHgO5 GGA-PBE relaxed; volume = 14.652 Å³/atom; formation energy without anion corrections = -17.2 eV/f.u.; symmetry = No. 127
1.0
6.9094 0.0000 0.0000
0.0000 6.9094 0.0000
0.0000 0.0000 5.5243
Nd Cu Hg O
4 2 2 10
Direct
0.1771 0.3229 0.0000
0.3229 0.8229 0.0000
0.6771 0.1771 0.0000
0.8229 0.6771 0.0000
0.0000 0.5000 0.5000
0.5000 0.0000 0.5000
0.0000 0.0000 0.5000
0.5000 0.5000 0.5000
0.0000 0.0000 0.0000
0.1270 0.6270 0.2521
0.1270 0.6270 0.7479
0.3730 0.1270 0.2521
0.3730 0.1270 0.7479
0.5000 0.5000 0.0000
0.6270 0.8730 0.2521
0.6270 0.8730 0.7479
0.8730 0.3730 0.2521
0.8730 0.3730 0.7479

Entry 8:
Sc2CuOs GGA-PBE relaxed; volume = 16.499 Å³/atom; E_form = -0.023 eV per atom; symmetry = No. 216
1.0
0.0000 3.2075 3.2075
3.2075 0.0000 3.2075
3.2075 3.2075 0.0000
Sc Cu Os
2 1 1
Direct
0.0000 0.0000 0.0000
0.2500 0.2500 0.2500
0.5000 0.5000 0.5000
0.7500 0.7500 0.7500

Entry 9:
Cr2CoHg GGA-PBE relaxed; volume = 14.768 Å³/atom; E_form = 0.857 eV per atom; symmetry = No. 122
1.0
-3.4214 3.4214 2.5231
3.4214 -3.4214 2.5231
3.4214 3.4214 -2.5231
Cr Co Hg
4 2 2
Direct
0.0674 0.6250 0.9424
0.3750 0.3174 0.4424
0.6826 0.1250 0.0576
0.8750 0.9326 0.5576
0.0000 0.0000 0.0000
0.7500 0.2500 0.5000
0.2500 0.7500 0.5000
0.5000 0.5000 0.0000

Entry 10:
Hf2Co GGA-PBE relaxed; volume = 18.227 Å³/atom; E_form = -0.300 eV per atom; symmetry = No. 12
1.0
5.5500 -1.6690 0.0000
5.5500 1.6690 0.0000
-4.2390 0.0000 5.9032
Hf Co
4 2
Direct
0.0944 0.0944 0.3799
0.3380 0.3380 0.9294
0.6620 0.6620 0.0706
0.9056 0.9056 0.6201
0.3648 0.3648 0.3187
0.6352 0.6352 0.6813

Entry 11:
PrNdGaGe GGA-PBE relaxed; volume = 26.188 Å³/atom; E_form = -0.754 eV per atom; symmetry = No. 38
1.0
4.1244 0.0000 0.0000
0.0000 2.2441 5.6589
0.0000 -2.2441 5.6589
Pr Nd Ga Ge
1 1 1 1
Direct
0.0000 0.0000 0.0000
0.5000 0.2812 0.2812
0.5000 0.5676 0.5676
0.0000 0.7159 0.7159

Entry 12:
Ba5Sr3Pt2 GGA-PBE relaxed; volume = 50.435 Å³/atom; E_form = -0.400 eV per atom; symmetry = No. 72
1.0
-6.2716 8.9338 4.5007
6.2716 -8.9338 4.5007
6.2716 8.9338 -4.5007
Ba Sr Pt
10 6 4
Direct
0.0072 0.7500 0.2572
0.1222 0.7418 0.8640
0.2500 0.2500 0.0000
0.3778 0.2418 0.6196
0.4928 0.7500 0.7428
0.5072 0.2500 0.2572
0.6222 0.7582 0.3804
0.7500 0.7500 0.0000
0.8778 0.2582 0.1360
0.9928 0.2500 0.7428
0.1216 0.2588 0.3804
0.2500 0.7500 0.5000
0.3784 0.7588 0.1371
0.6216 0.2412 0.8629
0.7500 0.2500 0.5000
0.8784 0.7412 0.6196
0.1225 0.4968 0.6192
0.3775 0.9968 0.3743
0.6225 0.0032 0.6257
0.8775 0.5032 0.3808

Entry 13:
SiAgW4 GGA-PBE relaxed; volume = 17.478 Å³/atom; formation energy without anion corrections = 5.2 eV/f.u.; symmetry = No. 216
1.0
0.0000 3.7429 3.7429
3.7429 0.0000 3.7429
3.7429 3.7429 0.0000
Si Ag W
1 1 4
Direct
0.0000 0.0000 0.0000
0.2500 0.2500 0.2500
0.1277 0.6241 0.6241
0.6241 0.1277 0.6241
0.6241 0.6241 0.1277
0.6241 0.6241 0.6241

Entry 14:
Ba2LiNi GGA-PBE relaxed; volume = 32.361 Å³/atom; E_form = 0.184 eV per atom; symmetry = No. 65
1.0
3.9700 -3.9762 0.0000
3.9700 3.9762 0.0000
0.0000 0.0000 4.1001
Ba Li Ni
2 1 1
Direct
0.0000 0.5000 0.0000
0.5000 0.0000 0.0000
0.0000 0.0000 0.5000
0.5000 0.5000 0.5000

Entry 15:
Ce5AgIr2 GGA-PBE relaxed; volume = 28.438 Å³/atom; E_form = -0.329 eV per atom; symmetry = No. 63
1.0
2.7838 -6.1428 0.0000
2.7838 6.1428 0.0000
0.0000 0.0000 13.3039
Ce Ag Ir
10 2 4
Direct
0.0556 0.9444 0.6384
0.0556 0.9444 0.8616
0.2385 0.7615 0.2500
0.3523 0.6477 0.5530
0.3523 0.6477 0.9470
0.6477 0.3523 0.0530
0.6477 0.3523 0.4470
0.7615 0.2385 0.7500
0.9444 0.0556 0.1384
0.9444 0.0556 0.3616
0.4975 0.5025 0.2500
0.5025 0.4975 0.7500
0.1525 0.8475 0.0544
0.1525 0.8475 0.4456
0.8475 0.1525 0.5544
0.8475 0.1525 0.9456

Entry 16:
CsTaBe GGA-PBE relaxed; volume = 33.524 Å³/atom; E_form = 1.025 eV per atom; symmetry = No. 129
1.0
4.5291 0.0000 0.0000
0.0000 4.5291 0.0000
0.0000 0.0000 9.8056
Cs Ta Be
2 2 2
Direct
0.2500 0.2500 0.1866
0.7500 0.7500 0.8134
0.2500 0.2500 0.5629
0.7500 0.7500 0.4371
0.2500 0.7500 0.5000
0.7500 0.2500 0.5000

Entry 17:
CeDy12Y2 GGA-PBE relaxed; volume = 31.961 Å³/atom; E_form = 0.117 eV per atom; symmetry = No. 12
1.0
3.5553 -5.5907 0.0000
3.5553 5.5907 0.0000
-1.7957 0.0000 24.1197
Ce Dy Y
2 24 4
Direct
0.1931 0.1931 0.0002
0.8069 0.8069 0.9998
0.0486 0.5497 0.2000
0.0833 0.5816 0.3293
0.1392 0.6372 0.5555
0.1424 0.1424 0.5756
0.2126 0.2126 0.8653
0.2397 0.7271 0.9270
0.2729 0.7603 0.0730
0.2775 0.2775 0.1353
0.3559 0.3559 0.4259
0.3628 0.8608 0.4445
0.4184 0.9167 0.6707
0.4503 0.9514 0.8000
0.5497 0.0486 0.2000
0.5816 0.0833 0.3293
0.6372 0.1392 0.5555
0.6441 0.6441 0.5741
0.7225 0.7225 0.8647
0.7271 0.2397 0.9270
0.7603 0.2729 0.0730
0.7874 0.7874 0.1347
0.8576 0.8576 0.4244
0.8608 0.3628 0.4445
0.9167 0.4184 0.6707
0.9514 0.4503 0.8000
0.0667 0.0667 0.2706
0.4323 0.4323 0.7300
0.5677 0.5677 0.2700
0.9333 0.9333 0.7294

Entry 18:
BaAgCl2F GGA-PBE relaxed; volume = 23.372 Å³/atom; formation energy without anion corrections = -10.4 eV/f.u.; symmetry = No. 11
1.0
7.3297 0.0000 0.0000
0.0000 4.3382 0.0000
-2.2843 0.0000 7.3500
Ba Ag Cl F
2 2 4 2
Direct
0.1487 0.2500 0.3420
0.8513 0.7500 0.6580
0.3844 0.2500 0.8749
0.6156 0.7500 0.1251
0.2239 0.7500 0.0370
0.4029 0.7500 0.6448
0.5971 0.2500 0.3552
0.7761 0.2500 0.9630
0.0421 0.2500 0.6462
0.9579 0.7500 0.3538

Entry 19:
ScCo2Hg GGA-PBE relaxed; volume = 16.313 Å³/atom; E_form = 0.031 eV per atom; symmetry = No. 38
1.0
3.9343 0.0000 0.0000
0.0000 1.6673 4.9738
0.0000 -1.6673 4.9738
Sc Co Hg
1 2 1
Direct
0.0000 0.0000 0.0000
0.0000 0.7132 0.7132
0.5000 0.5990 0.5990
0.5000 0.3250 0.3250

Entry 20:
PmBeBPt6 GGA-PBE relaxed; volume = 17.340 Å³/atom; E_form = -0.510 eV per atom; symmetry = No. 74
1.0
-3.5332 4.0689 5.4279
3.5332 -4.0689 5.4279
3.5332 4.0689 -5.4279
Pm Be B Pt
2 2 2 12
Direct
0.4040 0.1540 0.2500
0.5960 0.8460 0.7500
0.0000 0.0000 0.5000
0.0000 0.5000 0.0000
0.0000 0.5000 0.5000
0.5000 0.5000 0.0000
0.1041 0.4025 0.2533
0.1041 0.8508 0.7016
0.1287 0.8787 0.2500
0.3169 0.5669 0.7500
0.3508 0.1492 0.7533
0.3508 0.5975 0.2016
0.6492 0.4025 0.7984
0.6492 0.8508 0.2467
0.6831 0.4331 0.2500
0.8713 0.1213 0.7500
0.8959 0.1492 0.2984
0.8959 0.5975 0.7467